# TaRu4Cl, relaxed, DFT PBE-GGA
# Energy relative to the elements, uncorrected = 0.761 eV per atom
# Total magnetic moment = 0.204 μB per atom
# E = -7.706 eV per atom
data_TaRu4Cl
_chemical_formula_sum 'Ta4 Ru16 Cl4'
_cell_length_a 7.288
_cell_length_b 7.288
_cell_length_c 7.288
_cell_angle_alpha 90.00
_cell_angle_beta 90.00
_cell_angle_gamma 90.00
_symmetry_space_group_name_H-M 'F -4 3 m'
_symmetry_Int_Tables_number 216
_symmetry_space_group_name_Hall 'F -4 2 3'
loop_
_atom_site_label
_atom_site_fract_x
_atom_site_fract_y
_atom_site_fract_z
Ta1 0.000 0.000 0.000
Ru1 0.125 0.125 0.375
Cl1 0.250 0.250 0.750